# 1
GaAs2RhBr | meta-GGA SCAN | PBEsol geometry

Cell and atoms, written as CIF:
```
data_GaAs2RhBr
_symmetry_space_group_name_H-M 'P 4/m m m'
_symmetry_Int_Tables_number 123
_symmetry_space_group_name_Hall '-P 4 2'
_cell_length_a 4.666
_cell_length_b 4.666
_cell_length_c 5.456
_cell_angle_alpha 90.00
_cell_angle_beta 90.00
_cell_angle_gamma 90.00
loop_
_atom_site_label
_atom_site_type_symbol
_atom_site_fract_x
_atom_site_fract_y
_atom_site_fract_z
Ga1 Ga 0.000 0.000 0.000
As1 As 0.000 0.500 0.500
Rh1 Rh 0.500 0.500 0.500
Br1 Br 0.500 0.500 0.000
```

Properties
For the spin magnetization, the calculation gives 0.00 μB per atom. Its density of states at the Fermi level is 3.439 states/eV/cell. The total energy is -108.55 eV per formula unit. The value obtained for the formation energy (no corrections) is 0.28 eV/atom.

=====

# 2
Tl5Hg | meta-GGA SCAN | PBEsol geometry

Cell and atoms, written as CIF:
```
data_Tl5Hg
_symmetry_space_group_name_H-M 'A m m 2'
_symmetry_Int_Tables_number 38
_symmetry_space_group_name_Hall 'A 2 -2'
_cell_length_a 5.429
_cell_length_b 3.628
_cell_length_c 16.708
_cell_angle_alpha 90.00
_cell_angle_beta 90.00
_cell_angle_gamma 90.00
loop_
_atom_site_label
_atom_site_type_symbol
_atom_site_fract_x
_atom_site_fract_y
_atom_site_fract_z
Tl1 Tl 0.000 0.000 0.000
Tl2 Tl 0.000 0.000 0.323
Tl3 Tl 0.500 0.000 0.129
Tl4 Tl 0.500 0.000 0.459
Tl5 Tl 0.500 0.000 0.792
Hg1 Hg 0.000 0.000 0.661
```

Properties
For the spin magnetization, the calculation gives 0.00 μB per atom. Its density of states at the Fermi level is 5.464 states/eV/cell. The total energy is -429.92 eV per formula unit. The energy of formation comes out at 0.0061 eV/atom. The polymorph energy (0 for the lowest one) comes out at 0 kJ/mol of formula units.

=====

# 3
TcPSe2N | meta-GGA SCAN | PBEsol geometry

Cell and atoms, written as CIF:
```
data_TcPSe2N
_symmetry_space_group_name_H-M 'P 4/m m m'
_symmetry_Int_Tables_number 123
_symmetry_space_group_name_Hall '-P 4 2'
_cell_length_a 4.911
_cell_length_b 4.911
_cell_length_c 3.636
_cell_angle_alpha 90.00
_cell_angle_beta 90.00
_cell_angle_gamma 90.00
loop_
_atom_site_label
_atom_site_type_symbol
_atom_site_fract_x
_atom_site_fract_y
_atom_site_fract_z
Tc1 Tc 0.000 0.000 0.000
P1 P 0.500 0.500 0.500
Se1 Se 0.000 0.500 0.000
N1 N 0.000 0.000 0.500
```

Properties
For the spin magnetization, the calculation gives 0.00 μB per atom. Its density of states at the Fermi level is 3.156 states/eV/cell. The total energy is -91.99 eV per formula unit. The value obtained for the formation energy (no corrections) is 0.58 eV/atom.

=====

# 4
LiTl | meta-GGA SCAN | PBEsol geometry

Cell and atoms, written as CIF:
```
data_LiTl
_symmetry_space_group_name_H-M 'I m m a'
_symmetry_Int_Tables_number 74
_symmetry_space_group_name_Hall '-I 2b 2'
_cell_length_a 3.523
_cell_length_b 4.746
_cell_length_c 10.058
_cell_angle_alpha 90.00
_cell_angle_beta 90.00
_cell_angle_gamma 90.00
loop_
_atom_site_label
_atom_site_type_symbol
_atom_site_fract_x
_atom_site_fract_y
_atom_site_fract_z
Li1 Li 0.000 0.250 0.125
Tl1 Tl 0.000 0.250 0.619
```

Properties
For the spin magnetization, the calculation gives 0.00 μB per atom. Its density of states at the Fermi level is 2.899 states/eV/cell. The total energy is -75.25 eV per formula unit. The energy of formation comes out at -0.2534 eV/atom.

=====

# 5
BaCuRh2 | meta-GGA SCAN | PBEsol geometry

Cell and atoms, written as CIF:
```
data_BaCuRh2
_symmetry_space_group_name_H-M 'P 4/m m m'
_symmetry_Int_Tables_number 123
_symmetry_space_group_name_Hall '-P 4 2'
_cell_length_a 4.136
_cell_length_b 4.136
_cell_length_c 4.216
_cell_angle_alpha 90.00
_cell_angle_beta 90.00
_cell_angle_gamma 90.00
loop_
_atom_site_label
_atom_site_type_symbol
_atom_site_fract_x
_atom_site_fract_y
_atom_site_fract_z
Ba1 Ba 0.000 0.000 0.000
Cu1 Cu 0.500 0.500 0.000
Rh1 Rh 0.000 0.500 0.500
```

Properties
For the spin magnetization, the calculation gives 0.21 μB per atom. Its density of states at the Fermi level is 3.527 states/eV/cell. The total energy is -120.16 eV per formula unit. The energy of formation comes out at 0.5321 eV/atom. The polymorph energy (0 for the lowest one) comes out at 257 kJ/mol of formula units.

=====

# 6
TaNi2W | meta-GGA SCAN | PBEsol geometry

Cell and atoms, written as CIF:
```
data_TaNi2W
_symmetry_space_group_name_H-M 'P 1 m 1'
_symmetry_Int_Tables_number 6
_symmetry_space_group_name_Hall 'P -2y'
_cell_length_a 2.652
_cell_length_b 4.286
_cell_length_c 4.703
_cell_angle_alpha 90.00
_cell_angle_beta 94.53
_cell_angle_gamma 90.00
loop_
_atom_site_label
_atom_site_type_symbol
_atom_site_fract_x
_atom_site_fract_y
_atom_site_fract_z
Ta1 Ta 0.000 0.000 0.000
Ni1 Ni 0.418 0.500 0.831
Ni2 Ni 0.432 0.000 0.517
W1 W 0.841 0.500 0.358
```

Properties
For the spin magnetization, the calculation gives 0.00 μB per atom. Its density of states at the Fermi level is 3.483 states/eV/cell. The total energy is -168.82 eV per formula unit. The energy of formation comes out at -0.0495 eV/atom.

=====

# 7
HoRu2 | meta-GGA SCAN | PBEsol geometry

Cell and atoms, written as CIF:
```
data_HoRu2
_symmetry_space_group_name_H-M 'P 63/m m c'
_symmetry_Int_Tables_number 194
_symmetry_space_group_name_Hall '-P 6c 2c'
_cell_length_a 5.1798
_cell_length_b 5.1798
_cell_length_c 8.7671
_cell_angle_alpha 90.00
_cell_angle_beta 90.00
_cell_angle_gamma 120.00
loop_
_atom_site_label
_atom_site_type_symbol
_atom_site_fract_x
_atom_site_fract_y
_atom_site_fract_z
Ho1 Ho 0.3333 0.6667 0.0666
Ru1 Ru 0.0000 0.0000 0.0000
Ru2 Ru 0.1704 0.3408 0.7500
```

Properties
For the spin magnetization, the calculation gives 0.00 μB per atom. Its density of states at the Fermi level is 12.635 states/eV/cell. The total energy is -119.91 eV per formula unit. The energy of formation comes out at -0.4241 eV/atom.

=====

# 8
CsTa3Mo | meta-GGA SCAN | PBEsol geometry

Cell and atoms, written as CIF:
```
data_CsTa3Mo
_symmetry_space_group_name_H-M 'P m -3 m'
_symmetry_Int_Tables_number 221
_symmetry_space_group_name_Hall '-P 4 2 3'
_cell_length_a 4.903
_cell_length_b 4.903
_cell_length_c 4.903
_cell_angle_alpha 90.00
_cell_angle_beta 90.00
_cell_angle_gamma 90.00
loop_
_atom_site_label
_atom_site_type_symbol
_atom_site_fract_x
_atom_site_fract_y
_atom_site_fract_z
Cs1 Cs 0.000 0.000 0.000
Ta1 Ta 0.000 0.000 0.500
Mo1 Mo 0.500 0.500 0.500
```

Properties
For the spin magnetization, the calculation gives 0.61 μB per atom. Its density of states at the Fermi level is 4.254 states/eV/cell. The total energy is -254.39 eV per formula unit. The energy of formation comes out at 3.6119 eV/atom.

=====

# 9
LiAu5 | meta-GGA SCAN | PBEsol geometry

Cell and atoms, written as CIF:
```
data_LiAu5
_symmetry_space_group_name_H-M 'P -6 2 m'
_symmetry_Int_Tables_number 189
_symmetry_space_group_name_Hall 'P -6 -2'
_cell_length_a 4.9363
_cell_length_b 4.9363
_cell_length_c 4.6793
_cell_angle_alpha 90.00
_cell_angle_beta 90.00
_cell_angle_gamma 120.00
loop_
_atom_site_label
_atom_site_type_symbol
_atom_site_fract_x
_atom_site_fract_y
_atom_site_fract_z
Li1 Li 0.0000 0.0000 0.0000
Au1 Au 0.0000 0.6701 0.5000
Au2 Au 0.3333 0.6667 0.0000
```

Properties
For the spin magnetization, the calculation gives 0.00 μB per atom. Its density of states at the Fermi level is 1.606 states/eV/cell. The total energy is -349.67 eV per formula unit. The energy of formation comes out at -0.2490 eV/atom. The polymorph energy (0 for the lowest one) comes out at 19 kJ/mol of formula units.

=====

# 10
Co2Cu2Bi | meta-GGA SCAN | PBEsol geometry

Cell and atoms, written as CIF:
```
data_Co2Cu2Bi
_symmetry_space_group_name_H-M 'I 4/m m m'
_symmetry_Int_Tables_number 139
_symmetry_space_group_name_Hall '-I 4 2'
_cell_length_a 3.532
_cell_length_b 3.532
_cell_length_c 11.810
_cell_angle_alpha 90.00
_cell_angle_beta 90.00
_cell_angle_gamma 90.00
loop_
_atom_site_label
_atom_site_type_symbol
_atom_site_fract_x
_atom_site_fract_y
_atom_site_fract_z
Co1 Co 0.000 0.500 0.250
Cu1 Cu 0.000 0.000 0.109
Bi1 Bi 0.000 0.000 0.500
```

Properties
For the spin magnetization, the calculation gives 0.74 μB per atom. Its density of states at the Fermi level is 4.967 states/eV/cell. The total energy is -141.13 eV per formula unit. The energy of formation comes out at 0.4909 eV/atom.

=====

# 11
TaAlRu2 | meta-GGA SCAN | PBEsol geometry

Cell and atoms, written as CIF:
```
data_TaAlRu2
_symmetry_space_group_name_H-M 'P 4/m m m'
_symmetry_Int_Tables_number 123
_symmetry_space_group_name_Hall '-P 4 2'
_cell_length_a 3.082
_cell_length_b 3.082
_cell_length_c 6.041
_cell_angle_alpha 90.00
_cell_angle_beta 90.00
_cell_angle_gamma 90.00
loop_
_atom_site_label
_atom_site_type_symbol
_atom_site_fract_x
_atom_site_fract_y
_atom_site_fract_z
Ta1 Ta 0.000 0.000 0.000
Al1 Al 0.000 0.000 0.500
Ru1 Ru 0.500 0.500 0.255
```

Properties
For the spin magnetization, the calculation gives 0.00 μB per atom. Its density of states at the Fermi level is 0.625 states/eV/cell. The total energy is -147.36 eV per formula unit. The energy of formation comes out at -0.8440 eV/atom.

=====

# 12
AgSbTe3Pb | meta-GGA SCAN | PBEsol geometry

Cell and atoms, written as CIF:
```
data_AgSbTe3Pb
_symmetry_space_group_name_H-M 'I m m 2'
_symmetry_Int_Tables_number 44
_symmetry_space_group_name_Hall 'I 2 -2'
_cell_length_a 4.351
_cell_length_b 6.173
_cell_length_c 12.952
_cell_angle_alpha 90.00
_cell_angle_beta 90.00
_cell_angle_gamma 90.00
loop_
_atom_site_label
_atom_site_type_symbol
_atom_site_fract_x
_atom_site_fract_y
_atom_site_fract_z
Ag1 Ag 0.000 0.000 0.000
Sb1 Sb 0.000 0.000 0.676
Te1 Te 0.000 0.500 0.015
Te2 Te 0.000 0.500 0.347
Te3 Te 0.000 0.500 0.654
Pb1 Pb 0.000 0.000 0.330
```

Properties
For the spin magnetization, the calculation gives 0.00 μB per atom. Its density of states at the Fermi level is 2.805 states/eV/cell. The total energy is -257.05 eV per formula unit. The value obtained for the formation energy (no corrections) is -0.15 eV/atom.

=====

Look up the spin magnetization of the twelfth one.
0.00 μB per atom

=====

Look up the total energy of the twelfth one.
-257.05 eV per formula unit